{
  "formula": "Ni3Se4Cl2O10",
  "functional": "PBE with a Hubbard U",
  "state": "relaxed",
  "lattice": [[-0.293, 0.632, 5.791], [5.017, -4.657, 3.052], [2.359, 7.373, -1.830]],
  "species": ["O", "O", "O", "O", "O", "O", "O", "O", "O", "O", "Cl", "Cl", "Se", "Se", "Se", "Se", "Ni", "Ni", "Ni"],
  "frac_coords": [[0.213, 0.091, 0.554], [0.738, 0.471, 0.219], [0.787, 0.909, 0.446], [0.000, 0.889, 0.778], [0.262, 0.748, 0.219], [0.787, 0.462, 0.554], [0.000, 0.111, 0.222], [0.738, 0.252, 0.781], [0.262, 0.529, 0.781], [0.213, 0.538, 0.446], [0.753, 0.698, 0.000], [0.247, 0.302, 0.000], [0.723, 0.319, 0.323], [0.277, 0.681, 0.677], [0.723, 0.996, 0.677], [0.277, 0.004, 0.323], [0.000, 0.628, 0.256], [0.000, 0.372, 0.744], [0.500, 0.500, 0.000]],
  "density_kg_m3": 4107,
  "magmom_total_mub_per_cell": 6.0,
  "total_energy_ev_per_atom": -4.81
}